Cd6Ag5Au: optimized geometry, PBE.

```
data_Cd6Ag5Au
_chemical_formula_sum 'Cd6 Ag5 Au1'
_cell_length_a 8.0232
_cell_length_b 8.0232
_cell_length_c 8.0232
_cell_angle_alpha 147.59
_cell_angle_beta 121.58
_cell_angle_gamma 68.41
_space_group_name_H-M_alt 'P 1'
_space_group_IT_number 1
loop_
_space_group_symop_operation_xyz
'x,y,z'
loop_
_atom_site_label
_atom_site_type_symbol
_atom_site_fract_x
_atom_site_fract_y
_atom_site_fract_z
Cd1 Cd 0.0815 0.3337 0.7478
Cd2 Cd 0.2453 0.0000 0.2453
Cd3 Cd 0.4141 0.6663 0.7478
Cd4 Cd 0.5859 0.3337 0.2522
Cd5 Cd 0.7547 0.0000 0.7547
Cd6 Cd 0.9185 0.6663 0.2522
Ag1 Ag 0.1708 0.1708 0.0000
Ag2 Ag 0.3363 0.8363 0.5000
Ag3 Ag 0.5000 0.5000 0.0000
Ag4 Ag 0.6637 0.1637 0.5000
Ag5 Ag 0.8292 0.8292 0.0000
Au1 Au 0.0000 0.5000 0.5000
```

Total moment ... 0.00 Bohr magnetons per cell
Distance to the lowest polymorph of the same formula ... 0 meV/atom